1.
Crystalline PrZn5Au7 at its relaxed geometry. Source: Alexandria via LeMat-Bulk, functional GGA-PBE.

As for the crystal system: orthorhombic. For the total energy, the calculation gives -2.974 eV per atom.

Structure (POSCAR):
```
PrZn5Au7
1.0
-2.6705 4.7408 4.6065
2.6705 -4.7408 4.6065
2.6705 4.7408 -4.6065
Pr Zn Au
1 5 7
direct
0.0000 0.0000 0.0000
0.0127 0.0150 0.5018
0.0127 0.5109 0.9977
0.2431 0.7431 0.5000
0.5131 0.0150 0.0023
0.5131 0.5109 0.4982
0.2149 0.5198 0.6951
0.3353 0.3353 0.0000
0.3444 0.0038 0.3406
0.6564 0.6564 0.0000
0.6632 0.0038 0.6594
0.7798 0.2798 0.5000
0.8247 0.5198 0.3049
```

2.
Crystalline Pr3Zn3Au8 at its relaxed geometry. Source: Alexandria via LeMat-Bulk, functional GGA-PBE.

The offset from the most stable computed form is 0.00 kJ per mole of atoms. As for the crystal system: monoclinic.

Structure (POSCAR):
```
Pr3Zn3Au8
1.0
8.1780 -2.3581 0.0000
8.1780 2.3581 0.0000
-4.9520 0.0000 7.6417
Pr Zn Au
3 3 8
direct
0.0000 0.0000 0.0000
0.2937 0.2937 0.2803
0.7063 0.7063 0.7197
0.0000 0.0000 0.5000
0.3310 0.3310 0.6707
0.6690 0.6690 0.3293
0.1298 0.1298 0.8400
0.1374 0.1374 0.4250
0.3471 0.3471 0.9660
0.4946 0.4946 0.6699
0.5054 0.5054 0.3301
0.6529 0.6529 0.0340
0.8626 0.8626 0.5750
0.8702 0.8702 0.1600
```

3.
Crystalline PrZn2Au2 at its relaxed geometry. Source: Alexandria via LeMat-Bulk, functional GGA-PBE.

The offset from the most stable computed form is 0.00 kJ per mole of atoms. As for the crystal system: tetragonal.

Structure (POSCAR):
```
PrZn2Au2
1.0
-2.0614 2.0614 6.1837
2.0614 -2.0614 6.1837
2.0614 2.0614 -6.1837
Pr Zn Au
1 2 2
direct
0.0000 0.0000 0.0000
0.2500 0.7500 0.5000
0.7500 0.2500 0.5000
0.3865 0.3865 0.0000
0.6135 0.6135 0.0000
```

4.
Crystalline Pr2Zn6Au3 at its relaxed geometry. Source: Alexandria via LeMat-Bulk, functional GGA-PBE.

As for the crystal system: hexagonal. For the total energy, the calculation gives -2.868 eV per atom.

Structure (POSCAR):
```
Pr2Zn6Au3
1.0
7.8738 0.0000 0.0000
-3.9369 6.8189 0.0000
0.0000 0.0000 4.1728
Pr Zn Au
2 6 3
direct
0.3333 0.6667 0.0000
0.6667 0.3333 0.0000
0.0000 0.2730 0.5000
0.0000 0.8130 0.0000
0.1870 0.1870 0.0000
0.2730 0.0000 0.5000
0.7270 0.7270 0.5000
0.8130 0.0000 0.0000
0.0000 0.6067 0.5000
0.3933 0.3933 0.5000
0.6067 0.0000 0.5000
```

5.
Crystalline Pr4ZnAu at its relaxed geometry. Source: Alexandria via LeMat-Bulk, functional GGA-PBE.

The offset from the most stable computed form is 0.00 kJ per mole of atoms. As for the crystal system: tetragonal.

Structure (POSCAR):
```
Pr4ZnAu
1.0
3.7595 0.0000 0.0000
0.0000 3.7595 0.0000
0.0000 0.0000 12.6126
Pr Zn Au
4 1 1
direct
0.0000 0.0000 0.1429
0.0000 0.0000 0.8571
0.5000 0.5000 0.3552
0.5000 0.5000 0.6448
0.5000 0.5000 0.0000
0.0000 0.0000 0.5000
```

6.
Crystalline PrZn4Au3 at its relaxed geometry. Source: Alexandria via LeMat-Bulk, functional GGA-PBE.

As for the crystal system: tetragonal. For the total energy, the calculation gives -2.858 eV per atom.

Structure (POSCAR):
```
PrZn4Au3
1.0
4.1401 0.0000 0.0000
0.0000 4.1401 0.0000
0.0000 0.0000 9.4207
Pr Zn Au
1 4 3
direct
0.0000 0.0000 0.0000
0.0000 0.5000 0.3261
0.0000 0.5000 0.6739
0.5000 0.0000 0.3261
0.5000 0.0000 0.6739
0.0000 0.0000 0.5000
0.5000 0.5000 0.1477
0.5000 0.5000 0.8523
```

7.
Crystalline Pr5Zn4Au at its relaxed geometry. Source: Alexandria via LeMat-Bulk, functional GGA-PBE.

As for the crystal system: tetragonal. For the total energy, the calculation gives -3.619 eV per atom.

Structure (POSCAR):
```
Pr5Zn4Au
1.0
3.7353 0.0000 0.0000
0.0000 3.7353 0.0000
0.0000 0.0000 18.4491
Pr Zn Au
5 4 1
direct
0.0000 0.0000 0.0000
0.0000 0.0000 0.2005
0.0000 0.0000 0.3987
0.0000 0.0000 0.6013
0.0000 0.0000 0.7995
0.5000 0.5000 0.1006
0.5000 0.5000 0.2960
0.5000 0.5000 0.7040
0.5000 0.5000 0.8994
0.5000 0.5000 0.5000
```

8.
Crystalline Pr4ZnAu at its relaxed geometry. Source: Alexandria via LeMat-Bulk, functional GGA-PBE.

The offset from the most stable computed form is 15.41 kJ per mole of atoms. As for the crystal system: monoclinic.

Structure (POSCAR):
```
Pr4ZnAu
1.0
7.0066 0.0000 0.0000
0.0000 7.7667 0.0000
-0.1887 0.0000 7.2960
Pr Zn Au
8 2 2
direct
0.1458 0.1586 0.1477
0.1458 0.3414 0.6477
0.3524 0.6651 0.1483
0.3524 0.8349 0.6483
0.6476 0.1651 0.3517
0.6476 0.3349 0.8517
0.8542 0.6586 0.3523
0.8542 0.8414 0.8523
0.5000 0.0000 0.0000
0.5000 0.5000 0.5000
0.0000 0.0000 0.5000
0.0000 0.5000 0.0000
```

9.
Crystalline PrZnAu2 at its relaxed geometry. Source: Alexandria via LeMat-Bulk, functional GGA-PBE.

As for the crystal system: tetragonal. For the total energy, the calculation gives -3.580 eV per atom.

Structure (POSCAR):
```
PrZnAu2
1.0
4.7237 0.0000 0.0000
0.0000 4.7237 0.0000
0.0000 0.0000 3.9888
Pr Zn Au
1 1 2
direct
0.0000 0.0000 0.0000
0.5000 0.5000 0.0000
0.0000 0.5000 0.5000
0.5000 0.0000 0.5000
```

10.
Crystalline PrZn6Au12 at its relaxed geometry. Source: Alexandria via LeMat-Bulk, functional GGA-PBE.

As for the crystal system: trigonal. For the total energy, the calculation gives -2.929 eV per atom.

Structure (POSCAR):
```
PrZn6Au12
1.0
5.9269 3.4219 2.9814
-5.9269 3.4219 2.9814
0.0000 -6.8438 2.9814
Pr Zn Au
1 6 12
direct
0.0000 0.0000 0.0000
0.2856 0.2856 0.6950
0.2856 0.6950 0.2856
0.3050 0.7144 0.7144
0.6950 0.2856 0.2856
0.7144 0.3050 0.7144
0.7144 0.7144 0.3050
0.1176 0.5000 0.8824
0.1176 0.8824 0.5000
0.1264 0.3756 0.3756
0.3756 0.1264 0.3756
0.3756 0.3756 0.1264
0.5000 0.1176 0.8824
0.5000 0.8824 0.1176
0.6244 0.6244 0.8736
0.6244 0.8736 0.6244
0.8736 0.6244 0.6244
0.8824 0.1176 0.5000
0.8824 0.5000 0.1176
```

11.
Crystalline PrZn5Au2 at its relaxed geometry. Source: Alexandria via LeMat-Bulk, functional GGA-PBE.

As for the crystal system: orthorhombic. For the total energy, the calculation gives -2.567 eV per atom.

Structure (POSCAR):
```
PrZn5Au2
1.0
-2.0271 3.6928 5.0827
2.0271 -3.6928 5.0827
2.0271 3.6928 -5.0827
Pr Zn Au
1 5 2
direct
0.0000 0.0000 0.0000
0.1813 0.3671 0.8142
0.4471 0.6329 0.8142
0.5000 0.0000 0.5000
0.5529 0.3671 0.1858
0.8187 0.6329 0.1858
0.2447 0.7447 0.5000
0.7553 0.2553 0.5000
```

12.
Crystalline Pr2Zn5Au3 at its relaxed geometry. Source: Alexandria via LeMat-Bulk, functional GGA-PBE.

As for the crystal system: orthorhombic. For the total energy, the calculation gives -3.054 eV per atom.

Structure (POSCAR):
```
Pr2Zn5Au3
1.0
-5.6398 5.9469 3.0561
5.6398 -5.9469 3.0561
5.6398 5.9469 -3.0561
Pr Zn Au
4 10 6
direct
0.1235 0.2469 0.3704
0.3765 0.7469 0.1234
0.6235 0.2531 0.8766
0.8765 0.7531 0.6296
0.0004 0.2500 0.7504
0.9996 0.7500 0.2496
0.1305 0.8688 0.9992
0.2500 0.7500 0.5000
0.3695 0.3688 0.7383
0.4996 0.2500 0.2496
0.5004 0.7500 0.7504
0.6305 0.6312 0.2617
0.7500 0.2500 0.5000
0.8695 0.1312 0.0008
0.1249 0.6411 0.7660
0.2500 0.2500 0.0000
0.3751 0.1411 0.5162
0.6249 0.8589 0.4838
0.7500 0.7500 0.0000
0.8751 0.3589 0.2340
```

13.
Crystalline PrZn7Au12 at its relaxed geometry. Source: Alexandria via LeMat-Bulk, functional GGA-PBE.

As for the crystal system: cubic. For the total energy, the calculation gives -2.680 eV per atom.

Structure (POSCAR):
```
PrZn7Au12
1.0
-4.7891 4.7891 4.7891
4.7891 -4.7891 4.7891
4.7891 4.7891 -4.7891
Pr Zn Au
1 7 12
direct
0.0000 0.0000 0.0000
0.0000 0.0000 0.5000
0.0000 0.5000 0.0000
0.0000 0.5000 0.5000
0.5000 0.0000 0.0000
0.5000 0.0000 0.5000
0.5000 0.5000 0.0000
0.5000 0.5000 0.5000
0.1262 0.2850 0.8412
0.1588 0.4438 0.2850
0.1588 0.8738 0.7150
0.2850 0.1588 0.4438
0.2850 0.8412 0.1262
0.4438 0.2850 0.1588
0.5562 0.7150 0.8412
0.7150 0.1588 0.8738
0.7150 0.8412 0.5562
0.8412 0.1262 0.2850
0.8412 0.5562 0.7150
0.8738 0.7150 0.1588
```

14.
Crystalline Pr3Zn2Au6 at its relaxed geometry. Source: Alexandria via LeMat-Bulk, functional GGA-PBE.

As for the crystal system: tetragonal. For the total energy, the calculation gives -3.912 eV per atom.

Structure (POSCAR):
```
Pr3Zn2Au6
1.0
-2.2394 2.2394 12.4778
2.2394 -2.2394 12.4778
2.2394 2.2394 -12.4778
Pr Zn Au
3 2 6
direct
0.0000 0.0000 0.0000
0.1962 0.1962 0.0000
0.8038 0.8038 0.0000
0.4515 0.4515 0.0000
0.5485 0.5485 0.0000
0.1020 0.6020 0.5000
0.3192 0.3192 0.0000
0.3980 0.8980 0.5000
0.6020 0.1020 0.5000
0.6808 0.6808 0.0000
0.8980 0.3980 0.5000
```

15.
Crystalline PrZn3Au10 at its relaxed geometry. Source: Alexandria via LeMat-Bulk, functional GGA-PBE.

As for the crystal system: cubic. For the total energy, the calculation gives -3.126 eV per atom.

Structure (POSCAR):
```
PrZn3Au10
1.0
0.0000 6.5187 6.5187
6.5187 0.0000 6.5187
6.5187 6.5187 0.0000
Pr Zn Au
2 6 20
direct
0.2500 0.2500 0.2500
0.7500 0.7500 0.7500
0.2352 0.2352 0.7648
0.2352 0.7648 0.2352
0.2352 0.7648 0.7648
0.7648 0.2352 0.2352
0.7648 0.2352 0.7648
0.7648 0.7648 0.2352
0.1155 0.1155 0.1155
0.1155 0.1155 0.6536
0.1155 0.6536 0.1155
0.1530 0.5000 0.5000
0.1530 0.5000 0.8470
0.1530 0.8470 0.5000
0.3464 0.8845 0.8845
0.5000 0.1530 0.5000
0.5000 0.1530 0.8470
0.5000 0.5000 0.1530
0.5000 0.5000 0.8470
0.5000 0.8470 0.1530
0.5000 0.8470 0.5000
0.6536 0.1155 0.1155
0.8470 0.1530 0.5000
0.8470 0.5000 0.1530
0.8470 0.5000 0.5000
0.8845 0.3464 0.8845
0.8845 0.8845 0.3464
0.8845 0.8845 0.8845
```

16.
Crystalline Pr2Zn7Au at its relaxed geometry. Source: Alexandria via LeMat-Bulk, functional GGA-PBE.

As for the crystal system: tetragonal. For the total energy, the calculation gives -2.535 eV per atom.

Structure (POSCAR):
```
Pr2Zn7Au
1.0
4.3076 0.0000 0.0000
0.0000 4.3076 0.0000
0.0000 0.0000 10.6263
Pr Zn Au
2 7 1
direct
0.0000 0.5000 0.2437
0.5000 0.0000 0.7563
0.0000 0.0000 0.0000
0.0000 0.5000 0.6411
0.0000 0.5000 0.8724
0.5000 0.0000 0.1276
0.5000 0.0000 0.3589
0.5000 0.5000 0.0000
0.5000 0.5000 0.5000
0.0000 0.0000 0.5000
```

17.
Crystalline PrZrAu at its relaxed geometry. Source: Alexandria via LeMat-Bulk, functional GGA-PBE.

The offset from the most stable computed form is 6.93 kJ per mole of atoms. As for the crystal system: tetragonal.

Structure (POSCAR):
```
PrZrAu
1.0
-1.7589 1.7589 6.1540
1.7589 -1.7589 6.1540
1.7589 1.7589 -6.1540
Pr Zr Au
1 1 1
direct
0.0000 0.0000 0.0000
0.6926 0.6926 0.0000
0.3114 0.3114 0.0000
```

18.
Crystalline PrZrAu at its relaxed geometry. Source: Alexandria via LeMat-Bulk, functional GGA-PBE.

The offset from the most stable computed form is 0.00 kJ per mole of atoms. As for the crystal system: tetragonal.

Structure (POSCAR):
```
PrZrAu
1.0
4.5825 0.0000 0.0000
0.0000 4.5825 0.0000
0.0000 0.0000 7.4729
Pr Zr Au
2 2 2
direct
0.2500 0.2500 0.1352
0.7500 0.7500 0.8648
0.2500 0.7500 0.5000
0.7500 0.2500 0.5000
0.2500 0.2500 0.7391
0.7500 0.7500 0.2609
```

19.
Crystalline PtAu5 at its relaxed geometry. Source: Alexandria via LeMat-Bulk, functional GGA-PBE.

The offset from the most stable computed form is 1.54 kJ per mole of atoms. As for the crystal system: orthorhombic.

Structure (POSCAR):
```
PtAu5
1.0
4.8516 0.0000 0.0000
0.0000 1.4542 7.5089
0.0000 -1.4542 7.5089
Pt Au
1 5
direct
0.0000 0.0000 0.0000
0.0000 0.3346 0.3346
0.0000 0.6641 0.6641
0.5000 0.2221 0.2221
0.5000 0.5531 0.5531
0.5000 0.8892 0.8892
```

20.
Crystalline Pt13Au2 at its relaxed geometry. Source: Alexandria via LeMat-Bulk, functional GGA-PBE.

As for the crystal system: trigonal. For the total energy, the calculation gives -5.444 eV per atom.

Structure (POSCAR):
```
Pt13Au2
1.0
3.5474 2.0481 5.9228
-3.5474 2.0481 5.9228
0.0000 -4.0962 5.9228
Pt Au
13 2
direct
0.0000 0.0000 0.0000
0.1581 0.1581 0.5396
0.1581 0.5396 0.1581
0.3098 0.3098 0.6895
0.3098 0.6895 0.3098
0.3105 0.6902 0.6902
0.4604 0.8419 0.8419
0.5396 0.1581 0.1581
0.6895 0.3098 0.3098
0.6902 0.3105 0.6902
0.6902 0.6902 0.3105
0.8419 0.4604 0.8419
0.8419 0.8419 0.4604
0.1589 0.1589 0.1589
0.8411 0.8411 0.8411
```

21.
Crystalline Pt2Au3 at its relaxed geometry. Source: Alexandria via LeMat-Bulk, functional GGA-PBE.

The offset from the most stable computed form is 23.97 kJ per mole of atoms. As for the crystal system: trigonal.

Structure (POSCAR):
```
Pt2Au3
1.0
2.7399 1.5819 7.1621
-2.7399 1.5819 7.1621
0.0000 -3.1638 7.1621
Pt Au
4 6
direct
0.1884 0.1884 0.1884
0.3116 0.3116 0.3116
0.6884 0.6884 0.6884
0.8116 0.8116 0.8116
0.2193 0.7500 0.2807
0.2500 0.7193 0.7807
0.2807 0.2193 0.7500
0.7193 0.7807 0.2500
0.7500 0.2807 0.2193
0.7807 0.2500 0.7193
```